Record 1
VASP calculation (PBE-GGA) on Mn6PtRh after structural relaxation.

Properties
crystal system: tetragonal
raw total energy: -0.3207 Ha/atom
formation enthalpy at 0 K: -4.050 kcal/mol of atoms

a b c (Å): 3.707 3.707 7.474
angles (deg): 90.00 90.00 90.00
Sites, in units of the cell vectors:
Mn 0.000 0.000 0.000
Mn 0.000 0.000 0.500
Mn 0.000 0.500 0.247
Mn 0.000 0.500 0.753
Mn 0.500 0.000 0.247
Mn 0.500 0.000 0.753
Pt 0.500 0.500 0.500
Rh 0.500 0.500 0.000

=====

Record 2
VASP calculation (PBE-GGA) on CrH3Pd3 after structural relaxation.

Properties
crystal system: trigonal
raw total energy: -0.1841 Ha/atom

a b c (Å): 5.321 5.321 5.321
angles (deg): 93.24 93.24 93.24
Sites, in units of the cell vectors:
Cr 0.109 0.109 0.109
Cr 0.891 0.891 0.891
H 0.016 0.418 0.290
H 0.290 0.016 0.418
H 0.418 0.290 0.016
H 0.582 0.710 0.984
H 0.710 0.984 0.582
H 0.984 0.582 0.710
Pd 0.063 0.746 0.419
Pd 0.254 0.581 0.937
Pd 0.419 0.063 0.746
Pd 0.581 0.937 0.254
Pd 0.746 0.419 0.063
Pd 0.937 0.254 0.581

=====

Record 3
VASP calculation (PBE-GGA) on LiBeSi after structural relaxation.

Properties
crystal system: orthorhombic
raw total energy: -0.1370 Ha/atom

a b c (Å): 2.886 3.866 6.935
angles (deg): 90.00 90.00 90.00
Sites, in units of the cell vectors:
Li 0.250 0.250 0.119
Li 0.750 0.750 0.881
Be 0.250 0.750 0.538
Be 0.750 0.250 0.462
Si 0.250 0.250 0.730
Si 0.750 0.750 0.270

=====

Record 4
VASP calculation (PBE-GGA) on IrC after structural relaxation.

Properties
crystal system: tetragonal
raw total energy: -0.3025 Ha/atom
formation enthalpy at 0 K: 18.711 kcal/mol of atoms

a b c (Å): 5.541 5.541 3.398
angles (deg): 90.00 90.00 90.00
Sites, in units of the cell vectors:
Ir 0.196 0.196 0.000
Ir 0.304 0.696 0.500
Ir 0.696 0.304 0.500
Ir 0.804 0.804 0.000
C 0.172 0.828 0.000
C 0.328 0.328 0.500
C 0.672 0.672 0.500
C 0.828 0.172 0.000

=====

Values for calculated density, g/cm3, ordered as above
10.15; 8.29; 1.89; 13.00